Entry 1:
VASP calculation (PBE) on a geometry-optimized Al2CrRu structure.

Output
E_tot, eV for the cell shown: -27.21

```
data_Al2CrRu
_cell_length_a 3.051
_cell_length_b 4.112
_cell_length_c 4.453
_cell_angle_alpha 90.00
_cell_angle_beta 90.00
_cell_angle_gamma 90.00
_space_group_name_H-M_alt 'P m m m'
_space_group_IT_number 47
_space_group_name_Hall '-P 2 2'
loop_
_atom_site_label
_atom_site_type_symbol
_atom_site_fract_x
_atom_site_fract_y
_atom_site_fract_z
Al1 Al 0.000 0.000 0.000
Al2 Al 0.500 0.000 0.500
Cr1 Cr 0.000 0.500 0.500
Ru1 Ru 0.500 0.500 0.000
```

=====

Entry 2:
VASP calculation (PBE) on a geometry-optimized Ac2FeC structure.

Output
E_tot, eV for the cell shown: -51.69

```
data_Ac2FeC
_cell_length_a 15.429
_cell_length_b 3.894
_cell_length_c 3.748
_cell_angle_alpha 90.00
_cell_angle_beta 104.00
_cell_angle_gamma 90.00
_space_group_name_H-M_alt 'C 1 2/m 1'
_space_group_IT_number 12
_space_group_name_Hall '-C 2y'
loop_
_atom_site_label
_atom_site_type_symbol
_atom_site_fract_x
_atom_site_fract_y
_atom_site_fract_z
Ac1 Ac 0.123 0.000 0.123
Fe1 Fe 0.000 0.500 0.500
C1 C 0.000 0.500 0.000
```

=====

Entry 3:
VASP calculation (PBE) on a geometry-optimized BC2 structure.

Output
E_tot, eV for the cell shown: -96.93

```
data_BC2
_cell_length_a 3.663
_cell_length_b 4.450
_cell_length_c 5.588
_cell_angle_alpha 103.00
_cell_angle_beta 92.14
_cell_angle_gamma 113.31
_space_group_name_H-M_alt 'P -1'
_space_group_IT_number 2
_space_group_name_Hall '-P 1'
loop_
_atom_site_label
_atom_site_type_symbol
_atom_site_fract_x
_atom_site_fract_y
_atom_site_fract_z
B1 B 0.009 0.182 0.253
B2 B 0.315 0.495 0.830
C1 C 0.080 0.844 0.208
C2 C 0.311 0.837 0.976
C3 C 0.360 0.849 0.419
C4 C 0.390 0.516 0.384
```